# 1
VASP calculation (GGA-PBE) on crystalline Sr3SnCl8 at its relaxed geometry.

Values from the calculation:
- Space-group type: No. 21
- Raw total energy: -4.07 eV/atom
- E_form (uncorrected): -2.080 eV/atom

a b c (Å): 7.7819 7.7819 8.5241
angles (deg): 90.00 90.00 119.53
Atoms (fractional coordinates):
Cl1 0.7116 0.7757 0.7477
Cl2 0.2884 0.2243 0.7477
Cl3 0.2831 0.7169 0.0000
Cl4 0.7757 0.7116 0.2523
Cl5 0.2857 0.7143 0.5000
Cl6 0.2243 0.2884 0.2523
Cl7 0.7169 0.2831 0.0000
Cl8 0.7143 0.2857 0.5000
Sn1 0.5000 0.5000 0.5000
Sr1 0.5000 0.5000 0.0000
Sr2 0.5000 0.0000 0.7487
Sr3 0.0000 0.5000 0.2513

=====

# 2
VASP calculation (GGA-PBE) on crystalline CdIr at its relaxed geometry.

Values from the calculation:
- Space-group type: No. 129
- Raw total energy: -4.38 eV/atom

a b c (Å): 3.5815 3.5815 6.5107
angles (deg): 90.00 90.00 90.00
Atoms (fractional coordinates):
Cd1 0.7500 0.7500 0.6436
Cd2 0.2500 0.2500 0.3564
Ir1 0.7500 0.2500 0.0000
Ir2 0.2500 0.7500 0.0000

=====

# 3
VASP calculation (GGA-PBE) on crystalline LaTbGa2Pd5 at its relaxed geometry.

Values from the calculation:
- Space-group type: No. 123
- Raw total energy: -5.40 eV/atom

a b c (Å): 4.2895 4.2895 9.2590
angles (deg): 90.00 90.00 90.00
Atoms (fractional coordinates):
La1 0.0000 0.0000 0.5000
Pd1 0.0000 0.5000 0.2707
Pd2 0.0000 0.5000 0.7293
Pd3 0.5000 0.5000 0.5000
Pd4 0.5000 0.0000 0.2707
Pd5 0.5000 0.0000 0.7293
Ga1 0.5000 0.5000 0.8661
Ga2 0.5000 0.5000 0.1339
Tb1 0.0000 0.0000 0.0000

=====

# 4
VASP calculation (GGA-PBE) on crystalline CdPRu2 at its relaxed geometry.

Values from the calculation:
- Space-group type: No. 122
- Raw total energy: -6.14 eV/atom

a b c (Å): 6.9278 6.9278 5.6139
angles (deg): 51.90 51.90 90.00
Atoms (fractional coordinates):
Ru1 0.2007 0.6250 0.2500
Ru2 0.5493 0.1250 0.2500
Ru3 0.3750 0.4507 0.7500
Ru4 0.8750 0.7993 0.7500
Cd1 0.0000 0.0000 0.0000
Cd2 0.7500 0.2500 0.5000
P1 0.2500 0.7500 0.5000
P2 0.5000 0.5000 0.0000

=====

| no. | density (g/cm3) |
| --- | --- |
| 1 | 2.46 |
| 2 | 12.11 |
| 3 | 9.45 |
| 4 | 8.72 |